A plane-wave DFT calculation with PBE was carried out for crystalline LiBiOsO6 at its relaxed geometry.

SG: P312 (149)
Volume in Å³/f.u.: 113.84
Formation energy (no corrections) in eV per atom: -1.17

The structure in POSCAR format:
```
LiBiOsO6
1.0
5.198 0.000 0.000
-2.599 4.502 0.000
0.000 0.000 4.864
Li Bi Os O
1 1 1 6
Direct
0.000 0.000 0.000
0.333 0.667 0.500
0.667 0.333 0.000
0.361 0.046 0.220
0.361 0.316 0.780
0.684 0.046 0.780
0.684 0.639 0.220
0.954 0.316 0.220
0.954 0.639 0.780
```



A plane-wave DFT calculation with PBE was carried out for crystalline LiBi2OsO at its relaxed geometry.

SG: P4/mmm (123)
Volume in Å³/f.u.: 121.99
Formation energy (no corrections) in eV per atom: 0.66

The structure in POSCAR format:
```
LiBi2OsO
1.0
5.123 0.000 0.000
0.000 5.123 0.000
0.000 0.000 4.648
Li Bi Os O
1 2 1 1
Direct
0.000 0.000 0.000
0.000 0.500 0.500
0.500 0.000 0.500
0.000 0.000 0.500
0.500 0.500 0.000
```



A plane-wave DFT calculation with PBE was carried out for crystalline LiBi2OsO6 at its relaxed geometry.

SG: R3 (146)
Volume in Å³/f.u.: 132.90
Formation energy (no corrections) in eV per atom: -1.25

The structure in POSCAR format:
```
LiBi2OsO6
1.0
2.841 1.640 4.754
-2.841 1.640 4.754
0.000 -3.280 4.754
Li Bi Os O
1 2 1 6
Direct
0.000 0.000 0.000
0.268 0.268 0.268
0.772 0.772 0.772
0.482 0.482 0.482
0.153 0.690 0.333
0.221 0.635 0.802
0.333 0.153 0.690
0.635 0.802 0.221
0.690 0.333 0.153
0.802 0.221 0.635
```



A plane-wave DFT calculation with PBE was carried out for crystalline Li3Bi2P3O12 at its relaxed geometry.

SG: C2/m (12)
Offset from the most stable computed form in meV per atom: 30
Volume in Å³/f.u.: 251.46
Formation energy (no corrections) in eV per atom: -2.06

The structure in POSCAR format:
```
Li3Bi2P3O12
1.0
4.345 -2.838 0.000
4.345 2.838 0.000
-0.546 0.000 20.392
Li Bi P O
6 4 6 24
Direct
0.000 0.000 0.158
0.000 0.000 0.842
0.340 0.340 0.911
0.342 0.342 0.226
0.658 0.658 0.774
0.660 0.660 0.089
0.000 0.000 0.000
0.000 0.000 0.500
0.005 0.005 0.319
0.995 0.995 0.681
0.349 0.349 0.764
0.355 0.355 0.079
0.357 0.357 0.401
0.643 0.643 0.599
0.645 0.645 0.921
0.651 0.651 0.236
0.235 0.688 0.410
0.239 0.239 0.455
0.241 0.241 0.134
0.242 0.682 0.765
0.246 0.246 0.823
0.248 0.686 0.084
0.254 0.254 0.699
0.275 0.275 0.009
0.289 0.289 0.330
0.312 0.765 0.590
0.314 0.752 0.916
0.318 0.758 0.235
0.682 0.242 0.765
0.686 0.248 0.084
0.688 0.235 0.410
0.711 0.711 0.670
0.725 0.725 0.991
0.746 0.746 0.301
0.752 0.314 0.916
0.754 0.754 0.177
0.758 0.318 0.235
0.759 0.759 0.866
0.761 0.761 0.545
0.765 0.312 0.590
```



A plane-wave DFT calculation with PBE was carried out for crystalline Li3Bi2P5O18 at its relaxed geometry.

SG: P-1 (2)
Volume in Å³/f.u.: 376.35
Formation energy (no corrections) in eV per atom: -1.99

The structure in POSCAR format:
```
Li3Bi2P5O18
1.0
6.837 0.000 0.000
-0.129 9.962 0.000
-0.748 -1.264 11.052
Li Bi P O
6 4 10 36
Direct
0.061 0.144 0.322
0.176 0.885 0.148
0.332 0.355 0.321
0.668 0.645 0.679
0.824 0.115 0.852
0.939 0.856 0.678
0.235 0.349 0.891
0.324 0.755 0.455
0.676 0.245 0.545
0.765 0.651 0.109
0.154 0.579 0.691
0.180 0.292 0.585
0.220 0.010 0.889
0.275 0.580 0.146
0.474 0.039 0.302
0.526 0.961 0.698
0.725 0.420 0.854
0.780 0.990 0.111
0.820 0.708 0.415
0.846 0.421 0.309
0.019 0.199 0.518
0.023 0.335 0.302
0.047 0.001 0.797
0.075 0.435 0.617
0.100 0.680 0.138
0.211 0.438 0.077
0.224 0.921 0.989
0.236 0.543 0.818
0.244 0.157 0.962
0.254 0.245 0.707
0.325 0.631 0.626
0.333 0.557 0.276
0.337 0.154 0.288
0.353 0.315 0.509
0.358 0.904 0.307
0.367 0.935 0.592
0.418 0.986 0.822
0.442 0.646 0.082
0.558 0.354 0.918
0.582 0.014 0.178
0.633 0.065 0.408
0.642 0.096 0.693
0.647 0.685 0.491
0.663 0.846 0.712
0.667 0.443 0.724
0.675 0.369 0.374
0.746 0.755 0.293
0.756 0.843 0.038
0.764 0.457 0.182
0.776 0.079 0.011
0.789 0.562 0.923
0.900 0.320 0.862
0.925 0.565 0.383
0.953 0.999 0.203
0.977 0.665 0.698
0.981 0.801 0.482
```



A plane-wave DFT calculation with PBE was carried out for crystalline Li5BiP4O14 at its relaxed geometry.

SG: P-1 (2)
Volume in Å³/f.u.: 279.62
Formation energy (no corrections) in eV per atom: -2.20

The structure in POSCAR format:
```
Li5BiP4O14
1.0
7.347 0.000 0.000
3.123 8.011 0.000
2.525 1.560 9.502
Li Bi P O
10 2 8 28
Direct
0.021 0.478 0.139
0.250 0.729 0.910
0.330 0.200 0.297
0.334 0.237 0.623
0.442 0.486 0.347
0.558 0.514 0.653
0.666 0.763 0.377
0.670 0.800 0.703
0.750 0.271 0.090
0.979 0.522 0.861
0.124 0.868 0.241
0.876 0.132 0.759
0.133 0.628 0.578
0.162 0.141 0.967
0.310 0.899 0.543
0.413 0.336 0.960
0.587 0.664 0.040
0.690 0.101 0.457
0.838 0.859 0.033
0.867 0.372 0.422
0.050 0.251 0.845
0.055 0.195 0.109
0.068 0.375 0.336
0.141 0.808 0.600
0.159 0.643 0.416
0.208 0.952 0.974
0.221 0.053 0.620
0.225 0.489 0.946
0.310 0.483 0.625
0.335 0.945 0.381
0.373 0.175 0.925
0.407 0.649 0.158
0.459 0.294 0.108
0.497 0.229 0.415
0.503 0.771 0.585
0.541 0.706 0.892
0.593 0.351 0.842
0.627 0.825 0.075
0.665 0.055 0.619
0.690 0.517 0.375
0.775 0.511 0.054
0.779 0.947 0.380
0.792 0.048 0.026
0.841 0.357 0.584
0.859 0.192 0.400
0.932 0.625 0.664
0.945 0.805 0.891
0.950 0.749 0.155
```



What is the formation energy (no corrections) in the sixth record?
-2.20 eV per atom